Entry one
Ga2CuPt8 | PBE-GGA | relaxed

Results
- Fermi-level density of states (states/eV/f.u.) = 9.8
- magnetic moment (μB per cell) = 0.0
- calculated density (Mg/m³) = 17.1

abc: 7.1241 7.1241 7.1241
angles: 146.66 118.87 71.44
Last column: nearest neighbours and their distance in Å.
Fractional coordinates of all 11 atoms:
Ga1 0.1904 0.1904 0.0000  10 Pt 2.61-2.81
Ga2 0.8096 0.8096 0.0000  10 Pt 2.61-2.81
Cu1 0.5000 0.5000 0.0000  8 Pt 2.63-2.70
Pt1 0.0682 0.3399 0.7283  3 Ga 2.62-2.65, 1 Cu 2.70, 7 Pt 2.77-2.93
Pt2 0.1945 0.0000 0.1945  2 Ga 2.61, 7 Pt 2.77-2.82
Pt3 0.3567 0.8567 0.5000  2 Cu 2.63, 8 Pt 2.77-2.84, 2 Ga 2.81
Pt4 0.3884 0.6601 0.7283  3 Ga 2.62-2.65, 1 Cu 2.70, 7 Pt 2.77-2.93
Pt5 0.6116 0.3399 0.2717  3 Ga 2.62-2.65, 1 Cu 2.70, 7 Pt 2.77-2.93
Pt6 0.6433 0.1433 0.5000  2 Cu 2.63, 8 Pt 2.77-2.84, 2 Ga 2.81
Pt7 0.8055 0.0000 0.8055  2 Ga 2.61, 7 Pt 2.77-2.82
Pt8 0.9318 0.6601 0.2717  3 Ga 2.62-2.65, 1 Cu 2.70, 7 Pt 2.77-2.93

---

Entry two
Ga2CuPt8 | PBE-GGA | relaxed

Results
- Fermi-level density of states (states/eV/f.u.) = 8.6
- magnetic moment (μB per cell) = 0.0
- calculated density (Mg/m³) = 17.4

abc: 7.2993 7.2993 6.2535
angles: 107.03 107.03 31.98
Last column: nearest neighbours and their distance in Å.
Fractional coordinates of all 11 atoms:
Ga1 0.2205 0.2205 0.1558  9 Pt 2.56-2.83
Ga2 0.7795 0.7795 0.8442  9 Pt 2.56-2.83
Cu1 0.5000 0.5000 0.5000  12 Pt 2.64-2.90
Pt1 0.0441 0.0441 0.2320  1 Ga 2.66, 9 Pt 2.76-2.92, 2 Cu 2.81
Pt2 0.1473 0.1473 0.7141  3 Ga 2.64-2.69, 7 Pt 2.76-2.92, 2 Cu 2.90
Pt3 0.3236 0.3236 0.5704  3 Ga 2.56-2.83, 1 Cu 2.64, 7 Pt 2.76-2.82
Pt4 0.4031 0.4031 0.0381  3 Ga 2.69-2.87, 8 Pt 2.76-2.90, 1 Cu 2.79
Pt5 0.5969 0.5969 0.9619  3 Ga 2.69-2.87, 8 Pt 2.76-2.90, 1 Cu 2.79
Pt6 0.6764 0.6764 0.4296  3 Ga 2.56-2.83, 1 Cu 2.64, 7 Pt 2.76-2.82
Pt7 0.8527 0.8527 0.2859  3 Ga 2.64-2.69, 7 Pt 2.76-2.92, 2 Cu 2.90
Pt8 0.9559 0.9559 0.7680  1 Ga 2.66, 9 Pt 2.76-2.92, 2 Cu 2.81

---

It is entry two that is the most stable of them.